# Co2PIrAu

An optimized crystal structure of Co2PIrAu (PBE, the Alexandria database).

CIF file:
```
data_Co2PIrAu
_symmetry_space_group_name_H-M 'P 4/m m m'
_symmetry_Int_Tables_number 123
_symmetry_space_group_name_Hall '-P 4 2'
_cell_length_a 4.524
_cell_length_b 4.524
_cell_length_c 5.072
_cell_angle_alpha 90.00
_cell_angle_beta 90.00
_cell_angle_gamma 90.00
loop_
_atom_site_label
_atom_site_fract_x
_atom_site_fract_y
_atom_site_fract_z
_atom_site_occupancy
Co1 0.000 0.500 0.000 1
P1 0.000 0.000 0.500 1
Ir1 0.500 0.500 0.000 1
Au1 0.500 0.500 0.500 1
```

final energy: -24.187 eV per cell
calculated formation energy: 1.51 eV per atom
total magnetization: 5.3 μB per cell